[1]
Compound: HoTmTlN
Source: OQMD
Functional: PBE
Structure: optimized geometry

The calculation puts the theoretical density at 11.14 Mg/m³. The total energy comes out at -5.96 eV per atom. Its total magnetic moment is 0.00 μB per atom.

The space group is P-3m1 (No. 164) and the conventional cell measures 3.4931, 3.4931 and 15.5855 Å, with angles of 90.00, 90.00 and 120.00 degrees. Symmetry generates all atoms from Ho at (0.3333, 0.6667, 0.4155), Tm at (0.3333, 0.6667, 0.0832), Tl at (0.3333, 0.6667, 0.7517), N at (0.0000, 0.0000, 0.0000) and N at (0.0000, 0.0000, 0.5000).

[2]
Compound: GdMg2Cd
Source: OQMD
Functional: PBE
Structure: optimized geometry

The calculation puts the theoretical density at 5.39 Mg/m³. The total energy comes out at -2.31 eV per atom. Its total magnetic moment is 0.00 μB per atom.

The space group is Amm2 (No. 38) and the conventional cell measures 5.065, 7.560 and 10.245 Å, with angles of 90.00, 90.00 and 90.00 degrees. Symmetry generates all atoms from Gd at (0.000, 0.235, 0.000), Mg at (0.000, 0.000, 0.742), Mg at (0.500, 0.000, 0.503), Mg at (0.500, 0.224, 0.236), Cd at (0.000, 0.000, 0.265) and Cd at (0.500, 0.000, 0.954).

[3]
Compound: FeGe2Mo
Source: OQMD
Functional: PBE
Structure: optimized geometry

The calculation puts the theoretical density at 8.24 Mg/m³. The total energy comes out at -6.74 eV per atom. Its total magnetic moment is 0.48 μB per atom.

The space group is F-43m (No. 216) and the conventional cell measures 6.211, 6.211 and 6.211 Å, with angles of 90.00, 90.00 and 90.00 degrees. Symmetry generates all atoms from Fe at (0.000, 0.000, 0.000), Ge at (0.000, 0.000, 0.500), Ge at (0.250, 0.250, 0.250) and Mo at (0.250, 0.250, 0.750).

[4]
Compound: YBeCuSi
Source: OQMD
Functional: PBE
Structure: optimized geometry

The calculation puts the theoretical density at 5.17 Mg/m³. Its total magnetic moment is 0.00 μB per atom. The calculation puts the energy above the most stable polymorph in this dataset at 0 meV/atom.

The space group is F-43m (No. 216) and the conventional cell measures 6.244, 6.244 and 6.244 Å, with angles of 90.00, 90.00 and 90.00 degrees. Symmetry generates all atoms from Y at (0.000, 0.000, 0.000), Be at (0.250, 0.250, 0.250), Cu at (0.250, 0.250, 0.750) and Si at (0.000, 0.000, 0.500).

[5]
Compound: LuCoAsOs
Source: OQMD
Functional: PBE
Structure: optimized geometry

The calculation puts the theoretical density at 13.27 Mg/m³. Its total magnetic moment is 0.23 μB per atom. The calculation puts the energy above the most stable polymorph in this dataset at 0 meV/atom.

The space group is F-43m (No. 216) and the conventional cell measures 6.298, 6.298 and 6.298 Å, with angles of 90.00, 90.00 and 90.00 degrees. Symmetry generates all atoms from Lu at (0.000, 0.000, 0.000), Co at (0.250, 0.250, 0.750), As at (0.000, 0.000, 0.500) and Os at (0.250, 0.250, 0.250).

[6]
Compound: LuFeGeOs
Source: OQMD
Functional: PBE
Structure: optimized geometry

The calculation puts the theoretical density at 12.28 Mg/m³. Its total magnetic moment is 1.00 μB per atom. The calculation puts the energy above the most stable polymorph in this dataset at 176 meV/atom.

The space group is F-43m (No. 216) and the conventional cell measures 6.440, 6.440 and 6.440 Å, with angles of 90.00, 90.00 and 90.00 degrees. Symmetry generates all atoms from Lu at (0.000, 0.000, 0.000), Fe at (0.000, 0.000, 0.500), Ge at (0.250, 0.250, 0.250) and Os at (0.250, 0.250, 0.750).

[7]
Compound: CoMo2S2
Source: OQMD
Functional: PBE
Structure: optimized geometry

The calculation puts the theoretical density at 6.78 Mg/m³. The total energy comes out at -7.57 eV per atom. Its total magnetic moment is 0.05 μB per atom.

The space group is Cmcm (No. 63) and the conventional cell measures 2.997, 10.705 and 9.624 Å, with angles of 90.00, 90.00 and 90.00 degrees. Symmetry generates all atoms from Co at (0.000, 0.025, 0.250), Mo at (0.000, 0.338, 0.594) and S at (0.000, 0.122, 0.592).

[8]
Compound: CuTePd
Source: OQMD
Functional: PBE
Structure: optimized geometry

The calculation puts the theoretical density at 8.69 Mg/m³. The total energy comes out at -4.10 eV per atom.

The space group is F-43m (No. 216) and the conventional cell measures 6.104, 6.104 and 6.104 Å, with angles of 90.00, 90.00 and 90.00 degrees. Symmetry generates all atoms from Cu at (0.000, 0.000, 0.000), Te at (0.250, 0.250, 0.250) and Pd at (0.250, 0.250, 0.750).